The following is a DFT calculation (PBE) of CrSn4 after structural relaxation.

abc: 5.137 5.137 5.137
angles: 90.00 90.00 90.00
Each line ends with the local moment (μB).
Element x y z (fractional)
Sn  0.500  0.500  0.000  -0.06
Sn  0.000  0.000  0.000  0.22
Sn  0.000  0.500  0.500  -0.06
Sn  0.500  0.000  0.500  -0.06
Cr  0.500  0.500  0.500  2.01

Properties
- magnetization (Bohr magnetons per cell) = 2.4
- crystal system = cubic
- energy of formation from the pure elements (meV/atom) = 323.5
- symmetry = No. 221